{
  "formula": "Sr3GeAs",
  "functional": "PBE",
  "state": "relaxed",
  "cell": [[5.8734, 0.0000, 0.0000], [0.0000, 5.8734, 0.0000], [0.0000, 0.0000, 5.8734]],
  "species": ["Sr", "Ge", "Sr", "As", "Sr"],
  "fractional_positions": [[0.0000, 0.0000, 0.5000], [0.5000, 0.5000, 0.5000], [0.0000, 0.5000, 0.0000], [0.0000, 0.0000, 0.0000], [0.5000, 0.0000, 0.0000]],
  "space_group": "Pm-3m",
  "density_g_cm3": 3.36,
  "formation_energy_ev_per_atom": -0.4730,
  "volume_a3_per_atom": 40.5,
  "de_polymorph_kj_per_mol_atoms": 0.0
}